{"formula": "Y2PaCo9", "functional": "PBE-GGA", "state": "optimized geometry", "m_tot_mub_per_cell": 8.613, "final_energy_ev_per_atom": -7.3805, "delta_e_f_mev_per_atom": -182, "spacegroup": "R-3m, No. 166", "lattice_angstrom": [[2.457, 1.419, 8.251], [-2.457, 1.419, 8.251], [0.000, -2.838, 8.251]], "species": ["Y", "Y", "Pa", "Co", "Co", "Co", "Co", "Co", "Co", "Co", "Co", "Co"], "frac_coords": [[0.140, 0.140, 0.140], [0.860, 0.860, 0.860], [0.000, 0.000, 0.000], [0.080, 0.582, 0.582], [0.334, 0.334, 0.334], [0.418, 0.418, 0.920], [0.418, 0.920, 0.418], [0.500, 0.500, 0.500], [0.582, 0.080, 0.582], [0.582, 0.582, 0.080], [0.666, 0.666, 0.666], [0.920, 0.418, 0.418]]}

{"formula": "La3Nd7Th2", "functional": "PBE-GGA", "state": "optimized geometry", "m_tot_mub_per_cell": 0.000, "final_energy_ev_per_atom": -5.1297, "delta_e_f_mev_per_atom": 120, "spacegroup": "P2/m, No. 10", "lattice_angstrom": [[6.014, 0.000, 0.000], [0.000, 3.665, 0.000], [-0.987, 0.000, 19.494]], "species": ["La", "La", "La", "Nd", "Nd", "Nd", "Nd", "Nd", "Nd", "Nd", "Th", "Th"], "frac_coords": [[0.000, 0.000, 0.000], [0.275, 0.500, 0.636], [0.725, 0.500, 0.364], [0.188, 0.500, 0.145], [0.243, 0.000, 0.460], [0.309, 0.000, 0.824], [0.500, 0.500, 0.000], [0.691, 0.000, 0.176], [0.757, 0.000, 0.540], [0.812, 0.500, 0.855], [0.213, 0.000, 0.293], [0.787, 0.000, 0.707]]}

{"formula": "YSe2Cl", "functional": "PBE-GGA", "state": "optimized geometry", "m_tot_mub_per_cell": 0.000, "e_above_lowest_polymorph_mev_per_atom": 675.8, "final_energy_ev_per_atom": -4.5467, "spacegroup": "Fm-3m, No. 225", "lattice_angstrom": [[0.000, 3.572, 3.572], [3.572, 0.000, 3.572], [3.572, 3.572, 0.000]], "species": ["Y", "Se", "Se", "Cl"], "frac_coords": [[0.000, 0.000, 0.000], [0.250, 0.250, 0.250], [0.750, 0.750, 0.750], [0.500, 0.500, 0.500]]}

{"formula": "NdSm2InH", "functional": "PBE-GGA", "state": "optimized geometry", "m_tot_mub_per_cell": 0.950, "final_energy_ev_per_atom": -4.4199, "spacegroup": "P4/mmm, No. 123", "lattice_angstrom": [[4.991, 0.000, 0.000], [0.000, 4.991, 0.000], [0.000, 0.000, 4.934]], "species": ["Nd", "Sm", "Sm", "In", "H"], "frac_coords": [[0.000, 0.000, 0.000], [0.000, 0.500, 0.500], [0.500, 0.000, 0.500], [0.500, 0.500, 0.000], [0.000, 0.000, 0.500]]}

{"formula": "PtAu8", "functional": "PBE-GGA", "state": "optimized geometry", "m_tot_mub_per_cell": 0.000, "e_above_lowest_polymorph_mev_per_atom": 0.0, "final_energy_ev_per_atom": -3.5745, "delta_e_f_mev_per_atom": 10, "spacegroup": "I4/mmm, No. 139", "lattice_angstrom": [[-4.385, 4.385, 2.078], [4.385, -4.385, 2.078], [4.385, 4.385, -2.078]], "species": ["Pt", "Au", "Au", "Au", "Au", "Au", "Au", "Au", "Au"], "frac_coords": [[0.000, 0.000, 0.000], [0.000, 0.332, 0.332], [0.000, 0.668, 0.668], [0.332, 0.000, 0.332], [0.335, 0.335, 0.670], [0.335, 0.665, 0.000], [0.665, 0.335, 0.000], [0.665, 0.665, 0.330], [0.668, 0.000, 0.668]]}

{"formula": "Na2UInI8", "functional": "PBE-GGA", "state": "optimized geometry", "m_tot_mub_per_cell": 1.795, "final_energy_ev_per_atom": -3.2590, "spacegroup": "P2/m, No. 10", "lattice_angstrom": [[7.252, 0.000, 0.000], [0.000, 9.688, 0.000], [-0.622, 0.000, 7.606]], "species": ["Na", "Na", "U", "In", "I", "I", "I", "I", "I", "I", "I", "I"], "frac_coords": [[0.000, 0.248, 0.000], [0.000, 0.752, 0.000], [0.500, 0.500, 0.500], [0.500, 0.000, 0.500], [0.209, 0.000, 0.182], [0.239, 0.500, 0.172], [0.283, 0.274, 0.654], [0.283, 0.726, 0.654], [0.717, 0.274, 0.346], [0.717, 0.726, 0.346], [0.761, 0.500, 0.828], [0.791, 0.000, 0.818]]}

{"formula": "UPRh", "functional": "PBE-GGA", "state": "optimized geometry", "m_tot_mub_per_cell": 0.000, "final_energy_ev_per_atom": -8.4772, "delta_e_f_mev_per_atom": -461, "spacegroup": "I4mm, No. 107", "lattice_angstrom": [[-1.772, 1.772, 4.290], [1.772, -1.772, 4.290], [1.772, 1.772, -4.290]], "species": ["U", "P", "Rh"], "frac_coords": [[0.000, 0.000, 0.000], [0.654, 0.654, 0.000], [0.347, 0.347, 0.000]]}

{"formula": "FeRuPt2", "functional": "PBE-GGA", "state": "optimized geometry", "m_tot_mub_per_cell": 0.000, "final_energy_ev_per_atom": -7.0351, "delta_e_f_mev_per_atom": 420, "spacegroup": "Fm-3m, No. 225", "lattice_angstrom": [[0.000, 3.063, 3.063], [3.063, 0.000, 3.063], [3.063, 3.063, 0.000]], "species": ["Fe", "Ru", "Pt", "Pt"], "frac_coords": [[0.000, 0.000, 0.000], [0.500, 0.500, 0.500], [0.250, 0.250, 0.250], [0.750, 0.750, 0.750]]}

{"formula": "Y2PaGe3Ir4", "functional": "PBE-GGA", "state": "optimized geometry", "m_tot_mub_per_cell": 0.000, "final_energy_ev_per_atom": -7.9375, "delta_e_f_mev_per_atom": -765, "spacegroup": "P-4m2, No. 115", "lattice_angstrom": [[4.229, 0.000, 0.000], [0.000, 4.229, 0.000], [0.000, 0.000, 11.023]], "species": ["Y", "Y", "Pa", "Ge", "Ge", "Ge", "Ir", "Ir", "Ir", "Ir"], "frac_coords": [[0.000, 0.500, 0.219], [0.500, 0.000, 0.781], [0.000, 0.000, 0.500], [0.000, 0.500, 0.875], [0.500, 0.000, 0.125], [0.500, 0.500, 0.500], [0.000, 0.000, 0.000], [0.000, 0.500, 0.652], [0.500, 0.000, 0.348], [0.500, 0.500, 0.000]]}

{"formula": "CsLa3Mg", "functional": "PBE-GGA", "state": "optimized geometry", "m_tot_mub_per_cell": 0.000, "e_above_lowest_polymorph_mev_per_atom": 353.4, "final_energy_ev_per_atom": -2.5224, "delta_e_f_mev_per_atom": 924, "spacegroup": "Pm-3m, No. 221", "lattice_angstrom": [[5.926, 0.000, 0.000], [0.000, 5.926, 0.000], [0.000, 0.000, 5.926]], "species": ["Cs", "La", "La", "La", "Mg"], "frac_coords": [[0.000, 0.000, 0.000], [0.000, 0.000, 0.500], [0.000, 0.500, 0.000], [0.500, 0.000, 0.000], [0.500, 0.500, 0.500]]}

{"formula": "ReSiSe2", "functional": "PBE-GGA", "state": "optimized geometry", "m_tot_mub_per_cell": 0.579, "final_energy_ev_per_atom": -5.1653, "spacegroup": "P4/mmm, No. 123", "lattice_angstrom": [[3.868, 0.000, 0.000], [0.000, 3.868, 0.000], [0.000, 0.000, 4.575]], "species": ["Re", "Si", "Se", "Se"], "frac_coords": [[0.000, 0.000, 0.000], [0.500, 0.500, 0.000], [0.000, 0.500, 0.500], [0.500, 0.000, 0.500]]}

{"formula": "ErCd6Ag2", "functional": "PBE-GGA", "state": "optimized geometry", "m_tot_mub_per_cell": 0.000, "e_above_lowest_polymorph_mev_per_atom": 0.0, "final_energy_ev_per_atom": -1.8529, "delta_e_f_mev_per_atom": -102, "spacegroup": "Ibam, No. 72", "lattice_angstrom": [[-4.698, 4.752, 4.463], [4.698, -4.752, 4.463], [4.698, 4.752, -4.463]], "species": ["Er", "Er", "Cd", "Cd", "Cd", "Cd", "Cd", "Cd", "Cd", "Cd", "Cd", "Cd", "Cd", "Cd", "Ag", "Ag", "Ag", "Ag"], "frac_coords": [[0.250, 0.250, 0.000], [0.750, 0.750, 0.000], [0.046, 0.843, 0.507], [0.164, 0.657, 0.204], [0.222, 0.073, 0.294], [0.278, 0.573, 0.851], [0.336, 0.540, 0.493], [0.454, 0.960, 0.796], [0.546, 0.040, 0.204], [0.664, 0.460, 0.507], [0.722, 0.427, 0.149], [0.778, 0.927, 0.706], [0.836, 0.343, 0.796], [0.954, 0.157, 0.493], [0.068, 0.792, 0.860], [0.432, 0.292, 0.724], [0.568, 0.708, 0.276], [0.932, 0.208, 0.140]]}